## KBaOs2C (PBE)

Data for crystalline KBaOs2C at its relaxed geometry.

Mass density, g cm⁻³: 9.8
Final energy, eV/f.u.: -30.58

Cell: 4.137 4.137 5.622 Å, 90.00 90.00 90.00°
Sites, in units of the cell vectors:
K1 0.000 0.000 0.000
Ba1 0.500 0.500 0.000
Os1 0.000 0.500 0.500
Os2 0.500 0.000 0.500
C1 0.500 0.500 0.500